DFT (GGA-PBE) results for crystalline GaSi2Au8 at its relaxed geometry. Values from VASP.

Total moment   0.00 μB/f.u.
Formation energy from raw total energies   0.3 meV per atom
Theoretical density   13686 kg/m3
E   -40.088 eV/cell

Quantum ESPRESSO input file:
```
&SYSTEM
  ibrav = 0, nat = 11, ntyp = 3
/
ATOMIC_SPECIES
Au 196.97 Au.upf
Si 28.09 Si.upf
Ga 69.72 Ga.upf
CELL_PARAMETERS angstrom
3.537 0.000 -0.889
0.055 6.467 0.218
0.371 0.588 8.954
ATOMIC_POSITIONS crystal
Au 0.790 0.640 0.580
Au 0.417 0.625 0.834
Au 0.583 0.375 0.166
Au 0.676 0.003 0.352
Au 0.210 0.360 0.420
Au 0.036 0.713 0.072
Au 0.964 0.287 0.928
Au 0.324 0.997 0.648
Si 0.826 0.256 0.653
Si 0.174 0.744 0.347
Ga 0.500 0.000 0.000
```



DFT (GGA-PBE) results for crystalline Ga5Si3Au12 at its relaxed geometry. Values from VASP.

Total moment   0.00 μB/f.u.
Formation energy from raw total energies   63.9 meV per atom
Theoretical density   10858 kg/m3
E   -277.819 eV/cell

Quantum ESPRESSO input file:
```
&SYSTEM
  ibrav = 0, nat = 80, ntyp = 3
/
ATOMIC_SPECIES
Ga 69.72 Ga.upf
Au 196.97 Au.upf
Si 28.09 Si.upf
CELL_PARAMETERS angstrom
-10.454 7.223 -2.971
-1.375 -11.940 -5.083
1.124 -0.897 12.970
ATOMIC_POSITIONS crystal
Ga 0.500 0.500 0.000
Ga 0.250 0.875 0.125
Ga 0.000 0.500 0.500
Ga 0.500 0.500 0.500
Ga 0.000 0.000 0.000
Ga 0.875 0.250 0.625
Ga 0.500 0.000 0.500
Ga 0.500 0.000 0.000
Ga 0.000 0.000 0.500
Ga 0.000 0.500 0.000
Ga 0.750 0.125 0.875
Ga 0.250 0.375 0.625
Ga 0.375 0.125 0.750
Ga 0.125 0.750 0.375
Ga 0.625 0.875 0.250
Ga 0.750 0.625 0.375
Ga 0.625 0.750 0.875
Ga 0.375 0.250 0.125
Ga 0.125 0.375 0.250
Ga 0.875 0.625 0.750
Au 0.560 0.935 0.669
Au 0.169 0.109 0.735
Au 0.891 0.060 0.626
Au 0.669 0.435 0.560
Au 0.169 0.060 0.935
Au 0.565 0.331 0.940
Au 0.940 0.831 0.565
Au 0.065 0.626 0.735
Au 0.060 0.891 0.126
Au 0.765 0.331 0.891
Au 0.626 0.065 0.235
Au 0.765 0.435 0.374
Au 0.831 0.940 0.065
Au 0.440 0.065 0.331
Au 0.126 0.735 0.565
Au 0.331 0.565 0.440
Au 0.940 0.109 0.874
Au 0.435 0.669 0.060
Au 0.265 0.391 0.831
Au 0.265 0.874 0.935
Au 0.735 0.126 0.065
Au 0.874 0.265 0.435
Au 0.235 0.669 0.109
Au 0.831 0.891 0.265
Au 0.391 0.126 0.560
Au 0.609 0.874 0.440
Au 0.331 0.765 0.391
Au 0.435 0.765 0.874
Au 0.560 0.626 0.391
Au 0.235 0.565 0.626
Au 0.109 0.169 0.235
Au 0.735 0.609 0.169
Au 0.391 0.265 0.331
Au 0.109 0.940 0.374
Au 0.626 0.560 0.891
Au 0.060 0.169 0.435
Au 0.565 0.235 0.126
Au 0.126 0.391 0.060
Au 0.374 0.935 0.765
Au 0.440 0.374 0.609
Au 0.669 0.235 0.609
Au 0.065 0.440 0.831
Au 0.609 0.735 0.669
Au 0.935 0.560 0.169
Au 0.935 0.374 0.265
Au 0.874 0.609 0.940
Au 0.891 0.831 0.765
Au 0.374 0.440 0.109
Si 0.250 0.125 0.375
Si 0.750 0.375 0.125
Si 0.125 0.250 0.875
Si 0.250 0.625 0.875
Si 0.625 0.250 0.375
Si 0.375 0.750 0.625
Si 0.125 0.875 0.750
Si 0.875 0.750 0.125
Si 0.625 0.375 0.750
Si 0.750 0.875 0.625
Si 0.875 0.125 0.250
Si 0.375 0.625 0.250
```



DFT (GGA-PBE) results for crystalline GaSiAu at its relaxed geometry. Values from VASP.

Total moment   0.00 μB/f.u.
Formation energy from raw total energies   2.6 meV per atom
Theoretical density   8535 kg/m3
E   -23.439 eV/cell

Quantum ESPRESSO input file:
```
&SYSTEM
  ibrav = 0, nat = 6, ntyp = 3
/
ATOMIC_SPECIES
Ga 69.72 Ga.upf
Au 196.97 Au.upf
Si 28.09 Si.upf
CELL_PARAMETERS angstrom
-2.748 4.108 -0.324
-4.777 -1.169 -4.145
-2.167 -1.225 2.843
ATOMIC_POSITIONS crystal
Ga 0.536 0.954 0.618
Ga 0.936 0.074 0.117
Au 0.360 0.262 0.118
Au 0.112 0.766 0.617
Si 0.590 0.521 0.811
Si 0.882 0.507 0.311
```



DFT (GGA-PBE) results for crystalline GaSiAu at its relaxed geometry. Values from VASP.

Total moment   0.00 μB/f.u.
Formation energy from raw total energies   20.5 meV per atom
Theoretical density   8327 kg/m3
E   -23.331 eV/cell

Quantum ESPRESSO input file:
```
&SYSTEM
  ibrav = 0, nat = 6, ntyp = 3
/
ATOMIC_SPECIES
Au 196.97 Au.upf
Ga 69.72 Ga.upf
Si 28.09 Si.upf
CELL_PARAMETERS angstrom
-1.539 2.159 -5.615
3.429 -1.527 -5.037
-2.225 -2.888 0.728
ATOMIC_POSITIONS crystal
Au 0.635 0.789 0.775
Au 0.037 0.134 0.648
Ga 0.956 0.472 0.277
Ga 0.557 0.140 0.410
Si 0.039 0.822 0.994
Si 0.317 0.628 0.536
```



DFT (GGA-PBE) results for crystalline GaSiAu2 at its relaxed geometry. Values from VASP.

Total moment   0.00 μB/f.u.
Formation energy from raw total energies   -28.3 meV per atom
Theoretical density   10692 kg/m3
E   -30.236 eV/cell

Quantum ESPRESSO input file:
```
&SYSTEM
  ibrav = 0, nat = 8, ntyp = 3
/
ATOMIC_SPECIES
Au 196.97 Au.upf
Ga 69.72 Ga.upf
Si 28.09 Si.upf
CELL_PARAMETERS angstrom
-4.239 0.735 -0.259
-0.765 -4.200 0.594
-2.790 -0.532 8.295
ATOMIC_POSITIONS crystal
Au 0.143 0.625 0.250
Au 0.375 0.393 0.750
Au 0.875 0.857 0.750
Au 0.607 0.125 0.250
Ga 0.750 0.250 0.500
Ga 0.000 0.000 0.000
Si 0.500 0.500 0.000
Si 0.250 0.750 0.500
```



DFT (GGA-PBE) results for crystalline SrGa2SiAu5 at its relaxed geometry. Values from VASP.

Total moment   0.00 μB/f.u.
Formation energy from raw total energies   -269.3 meV per atom
Theoretical density   10283 kg/m3
E   -31.969 eV/cell

Quantum ESPRESSO input file:
```
&SYSTEM
  ibrav = 0, nat = 9, ntyp = 4
/
ATOMIC_SPECIES
Au 196.97 Au.upf
Ga 69.72 Ga.upf
Sr 87.62 Sr.upf
Si 28.09 Si.upf
CELL_PARAMETERS angstrom
4.881 0.000 0.000
0.000 6.190 0.000
-2.440 -3.095 6.628
ATOMIC_POSITIONS crystal
Au 0.350 0.595 0.700
Au 0.650 0.895 0.300
Au 0.350 0.105 0.700
Au 0.000 0.000 0.000
Au 0.650 0.405 0.300
Ga 0.806 0.806 0.611
Ga 0.194 0.194 0.389
Sr 0.000 0.500 0.000
Si 0.500 0.000 0.000
```



DFT (GGA-PBE) results for crystalline Sr2GaSi2Au6 at its relaxed geometry. Values from VASP.

Total moment   0.00 μB/f.u.
Formation energy from raw total energies   -375.6 meV per atom
Theoretical density   8013 kg/m3
E   -41.032 eV/cell

Quantum ESPRESSO input file:
```
&SYSTEM
  ibrav = 0, nat = 11, ntyp = 4
/
ATOMIC_SPECIES
Au 196.97 Au.upf
Ga 69.72 Ga.upf
Sr 87.62 Sr.upf
Si 28.09 Si.upf
CELL_PARAMETERS angstrom
-0.275 5.142 4.478
-0.531 -1.314 6.676
7.327 1.174 4.302
ATOMIC_POSITIONS crystal
Au 0.815 0.229 0.727
Au 0.771 0.771 0.273
Au 0.229 0.815 0.727
Au 0.771 0.185 0.273
Au 0.185 0.771 0.273
Au 0.229 0.229 0.727
Ga 0.000 0.000 0.000
Sr 0.778 0.778 0.665
Sr 0.222 0.222 0.335
Si 0.552 0.552 0.344
Si 0.448 0.448 0.656
```



DFT (GGA-PBE) results for crystalline Sr2Ga4SiAu3 at its relaxed geometry. Values from VASP.

Total moment   0.00 μB/f.u.
Formation energy from raw total energies   -512.0 meV per atom
Theoretical density   8193 kg/m3
E   -35.846 eV/cell

Quantum ESPRESSO input file:
```
&SYSTEM
  ibrav = 0, nat = 10, ntyp = 4
/
ATOMIC_SPECIES
Ga 69.72 Ga.upf
Au 196.97 Au.upf
Sr 87.62 Sr.upf
Si 28.09 Si.upf
CELL_PARAMETERS angstrom
-0.455 4.388 -0.389
-1.240 -0.503 -4.221
-10.586 -0.813 3.207
ATOMIC_POSITIONS crystal
Ga 0.500 0.500 0.000
Ga 0.500 0.000 0.632
Ga 0.000 0.000 0.000
Ga 0.000 0.500 0.368
Au 0.000 0.500 0.134
Au 0.000 0.000 0.500
Au 0.500 0.000 0.866
Sr 0.500 0.000 0.254
Sr 0.000 0.500 0.746
Si 0.500 0.500 0.500
```



Copy entry 3 word for word.
DFT (GGA-PBE) results for crystalline GaSiAu at its relaxed geometry. Values from VASP.

Total moment   0.00 μB/f.u.
Formation energy from raw total energies   2.6 meV per atom
Theoretical density   8535 kg/m3
E   -23.439 eV/cell

Quantum ESPRESSO input file:
```
&SYSTEM
  ibrav = 0, nat = 6, ntyp = 3
/
ATOMIC_SPECIES
Ga 69.72 Ga.upf
Au 196.97 Au.upf
Si 28.09 Si.upf
CELL_PARAMETERS angstrom
-2.748 4.108 -0.324
-4.777 -1.169 -4.145
-2.167 -1.225 2.843
ATOMIC_POSITIONS crystal
Ga 0.536 0.954 0.618
Ga 0.936 0.074 0.117
Au 0.360 0.262 0.118
Au 0.112 0.766 0.617
Si 0.590 0.521 0.811
Si 0.882 0.507 0.311
```



- Which of these has the lowest theoretical density?
  Sr2GaSi2Au6



- Among the records above, which one has the highest theoretical density?
  GaSi2Au8